# 1
Entry from Alexandria via LeMat-Bulk: a geometry-optimized Cu2Si2Ge structure (PBE-GGA).

Unit cell a=7.542 b=7.542 c=2.576 alpha=90.00 beta=90.00 gamma=90.00
Positions (direct):
Cu (0.662, 0.162, 0.000)
Cu (0.338, 0.838, 0.000)
Cu (0.838, 0.662, 0.000)
Cu (0.162, 0.338, 0.000)
Ge (0.500, 0.500, 0.000)
Ge (0.000, 0.000, 0.000)
Si (0.134, 0.634, 0.500)
Si (0.366, 0.134, 0.500)
Si (0.866, 0.366, 0.500)
Si (0.634, 0.866, 0.500)

Properties
energy relative to the elements, uncorrected	0.243	eV per atom
energy relative to the lowest polymorph listed for this composition	30.1	meV/atom
SG	P4/mbm (127)

=====

# 2
Entry from Alexandria via LeMat-Bulk: a geometry-optimized ZrAgF3 structure (PBE-GGA).

Unit cell a=4.322 b=4.322 c=4.322 alpha=90.00 beta=90.00 gamma=90.00
Positions (direct):
F (0.000, 0.000, 0.500)
F (0.000, 0.500, 0.000)
F (0.500, 0.000, 0.000)
Ag (0.500, 0.500, 0.500)
Zr (0.000, 0.000, 0.000)

Properties
energy relative to the elements, uncorrected	-2.139	eV per atom
energy relative to the lowest polymorph listed for this composition	0.0	meV/atom
SG	Pm-3m (221)

=====

# 3
Entry from Alexandria via LeMat-Bulk: a geometry-optimized PmNdY6Tm2 structure (PBE-GGA).

Unit cell a=9.580 b=8.790 c=8.790 alpha=116.56 beta=93.75 gamma=93.75
Positions (direct):
Tm (0.050, 0.296, 0.196)
Tm (0.450, 0.804, 0.704)
Tm (0.550, 0.196, 0.296)
Tm (0.950, 0.704, 0.804)
Y (0.180, 0.565, 0.017)
Y (0.943, 0.885, 0.244)
Y (0.820, 0.435, 0.983)
Y (0.443, 0.244, 0.885)
Y (0.385, 0.514, 0.295)
Y (0.320, 0.983, 0.435)
Y (0.557, 0.756, 0.115)
Y (0.057, 0.115, 0.756)
Y (0.885, 0.295, 0.514)
Y (0.115, 0.705, 0.486)
Y (0.615, 0.486, 0.705)
Y (0.680, 0.017, 0.565)
Pm (0.750, 0.030, 0.970)
Pm (0.250, 0.970, 0.030)
Nd (0.750, 0.592, 0.408)
Nd (0.250, 0.408, 0.592)

Properties
SG	C2/c (15)
DFT formation energy	0.120	eV/atom

=====

# 4
Entry from Alexandria via LeMat-Bulk: a geometry-optimized Pu4USi2 structure (PBE-GGA).

Unit cell a=5.323 b=5.323 c=6.074 alpha=115.99 beta=115.99 gamma=90.00
Site moments in Bohr magnetons follow the coordinates.
Positions (direct):
U (0.000, 0.000, 0.000)  -1.08
Pu (0.250, 0.750, 0.500)  3.48
Pu (0.500, 0.000, 0.000)  -2.45
Pu (0.000, 0.500, 0.000)  -2.45
Pu (0.750, 0.250, 0.500)  3.48
Si (0.630, 0.630, 0.259)  -0.01
Si (0.370, 0.370, 0.741)  -0.01

Properties
energy relative to the elements, uncorrected	0.005	eV per atom
SG	I4/mmm (139)

=====

# 5
Entry from Alexandria via LeMat-Bulk: a geometry-optimized PmCd5Au6 structure (PBE-GGA).

Unit cell a=8.610 b=4.877 c=7.600 alpha=69.69 beta=78.97 gamma=55.71
Positions (direct):
Cd (0.002, 0.305, 0.337)
Cd (0.998, 0.695, 0.663)
Cd (0.500, 0.500, 0.000)
Cd (0.504, 0.191, 0.675)
Cd (0.496, 0.809, 0.325)
Au (0.256, 0.246, 0.995)
Au (0.738, 0.059, 0.340)
Au (0.262, 0.941, 0.660)
Au (0.260, 0.535, 0.344)
Au (0.740, 0.465, 0.656)
Au (0.744, 0.754, 0.005)
Pm (0.000, 0.000, 0.000)

Properties
SG	P-1 (2)
DFT formation energy	-0.308	eV/atom

=====

# 6
Entry from Alexandria via LeMat-Bulk: a geometry-optimized La5PrSn4 structure (PBE-GGA).

Unit cell a=7.743 b=10.288 c=10.752 alpha=90.00 beta=90.00 gamma=90.00
Site moments in Bohr magnetons follow the coordinates.
Positions (direct):
Sn (0.001, 0.500, 0.252)  -0.01
Sn (0.445, 0.749, 0.500)  -0.02
Sn (0.999, 0.000, 0.752)  -0.01
Sn (0.555, 0.751, 0.000)  -0.02
Sn (0.555, 0.249, 0.000)  -0.02
Sn (0.001, 0.500, 0.748)  -0.01
Sn (0.999, 0.000, 0.248)  -0.01
Sn (0.445, 0.251, 0.500)  -0.02
La (0.747, 0.750, 0.702)  0.08
La (0.253, 0.250, 0.202)  0.08
La (0.747, 0.250, 0.298)  0.08
La (0.253, 0.750, 0.202)  0.08
La (0.747, 0.250, 0.702)  0.08
La (0.209, 0.000, 0.500)  0.04
La (0.791, 0.500, 0.000)  0.04
La (0.253, 0.750, 0.798)  0.08
La (0.747, 0.750, 0.298)  0.08
La (0.253, 0.250, 0.798)  0.08
Pr (0.785, 0.000, 0.000)  0.05
Pr (0.215, 0.500, 0.500)  0.05

Properties
SG	Pmmn (59)
DFT formation energy	-0.343	eV/atom

=====

# 7
Entry from Alexandria via LeMat-Bulk: a geometry-optimized CuAgW3 structure (PBE-GGA).

Unit cell a=4.770 b=4.770 c=4.770 alpha=90.00 beta=90.00 gamma=90.00
Positions (direct):
W (0.000, 0.500, 0.000)
W (0.500, 0.000, 0.000)
W (0.000, 0.000, 0.500)
Cu (0.500, 0.500, 0.500)
Ag (0.000, 0.000, 0.000)

Properties
energy relative to the lowest polymorph listed for this composition	1163.8	meV/atom
SG	Pm-3m (221)
DFT formation energy	3.046	eV/atom

=====

# 8
Entry from Alexandria via LeMat-Bulk: a geometry-optimized La12Dy3Tm structure (PBE-GGA).

Unit cell a=5.202 b=5.202 c=20.794 alpha=90.00 beta=90.00 gamma=90.00
Positions (direct):
Tm (0.000, 0.000, 0.000)
Dy (0.000, 0.000, 0.250)
Dy (0.000, 0.000, 0.750)
Dy (0.000, 0.000, 0.500)
La (0.000, 0.500, 0.875)
La (0.500, 0.000, 0.875)
La (0.000, 0.500, 0.375)
La (0.500, 0.000, 0.375)
La (0.500, 0.500, 0.250)
La (0.500, 0.500, 0.500)
La (0.000, 0.500, 0.125)
La (0.500, 0.500, 0.750)
La (0.500, 0.500, 0.000)
La (0.500, 0.000, 0.625)
La (0.500, 0.000, 0.125)
La (0.000, 0.500, 0.625)

Properties
SG	P4/mmm (123)
DFT formation energy	0.008	eV/atom

=====

# 9
Entry from Alexandria via LeMat-Bulk: a geometry-optimized CuTe structure (PBE-GGA).

Unit cell a=9.924 b=9.924 c=4.173 alpha=90.00 beta=90.00 gamma=120.00
Positions (direct):
Te (0.399, 0.114, 0.250)
Te (0.715, 0.601, 0.250)
Te (0.601, 0.886, 0.750)
Te (0.285, 0.399, 0.750)
Te (0.114, 0.715, 0.750)
Te (0.886, 0.285, 0.250)
Cu (0.571, 0.614, 0.750)
Cu (0.386, 0.957, 0.750)
Cu (0.957, 0.571, 0.250)
Cu (0.614, 0.043, 0.250)
Cu (0.429, 0.386, 0.250)
Cu (0.043, 0.429, 0.750)

Properties
energy relative to the elements, uncorrected	0.038	eV per atom
SG	P6_3/m (176)

=====

# 10
Entry from Alexandria via LeMat-Bulk: a geometry-optimized TbBeGa2Cu4 structure (PBE-GGA).

Unit cell a=4.098 b=4.098 c=8.514 alpha=76.07 beta=76.07 gamma=60.00
Positions (direct):
Be (0.500, 0.500, 0.500)
Ga (0.755, 0.755, 0.735)
Ga (0.245, 0.245, 0.265)
Cu (0.139, 0.139, 0.584)
Cu (0.591, 0.591, 0.227)
Cu (0.861, 0.861, 0.416)
Cu (0.409, 0.409, 0.773)
Tb (0.000, 0.000, 0.000)

Properties
SG	R-3m (166)
DFT formation energy	-0.209	eV/atom

=====

# 11
Entry from Alexandria via LeMat-Bulk: a geometry-optimized La2TbY12 structure (PBE-GGA).

Unit cell a=6.763 b=6.763 c=25.052 alpha=90.00 beta=90.00 gamma=63.78
Positions (direct):
Y (0.250, 0.750, 0.076)
Y (0.500, 0.500, 0.802)
Y (0.500, 0.500, 0.672)
Y (0.750, 0.250, 0.076)
Y (0.750, 0.750, 0.875)
Y (0.750, 0.750, 0.125)
Y (0.250, 0.250, 0.584)
Y (0.750, 0.250, 0.562)
Y (0.750, 0.250, 0.438)
Y (0.250, 0.750, 0.562)
Y (0.250, 0.750, 0.438)
Y (0.500, 0.500, 0.198)
Y (0.250, 0.250, 0.125)
Y (0.250, 0.250, 0.875)
Y (0.750, 0.750, 0.584)
Y (0.250, 0.250, 0.416)
Y (0.000, 0.000, 0.328)
Y (0.500, 0.500, 0.328)
Y (0.000, 0.000, 0.802)
Y (0.000, 0.000, 0.198)
Y (0.750, 0.250, 0.924)
Y (0.250, 0.750, 0.924)
Y (0.750, 0.750, 0.416)
Y (0.000, 0.000, 0.672)
La (0.000, 0.500, 0.268)
La (0.500, 0.000, 0.732)
La (0.500, 0.000, 0.268)
La (0.000, 0.500, 0.732)
Tb (0.000, 0.500, 0.000)
Tb (0.500, 0.000, 0.000)

Properties
SG	Pmmm (47)
DFT formation energy	0.163	eV/atom

=====

# 12
Entry from Alexandria via LeMat-Bulk: a geometry-optimized Tb2ZrSc structure (PBE-GGA).

Unit cell a=3.297 b=3.297 c=11.868 alpha=82.02 beta=82.02 gamma=60.00
Positions (direct):
Tb (0.911, 0.911, 0.267)
Tb (0.089, 0.089, 0.733)
Sc (0.500, 0.500, 0.500)
Zr (0.000, 0.000, 0.000)

Properties
energy relative to the lowest polymorph listed for this composition	190.9	meV/atom
SG	R-3m (166)
DFT formation energy	0.277	eV/atom

=====

Results for V: 147, 81, 657, 135, 247, 857, 108, 563, 356, 119, 1028, 110 (in Å³/cell, following the order of the records).
Results for total DFT energy (no corrections): -4.49, -5.54, -5.60, -11.35, -2.72, -4.89, -6.12, -4.83, -3.58, -4.06, -5.97, -5.76 (in eV per atom, following the order of the records).